Record 1
The following is a meta-GGA SCAN calculation of a PBEsol-optimized structure of YSc2Ru, from the Alexandria database.

Output
- Calculated volume: 85 Å³ per cell
- Relative energy among the computed polymorphs: 5 kJ/mol of formula units
- Energy of formation: -365.4 meV per atom

Cell lengths 3.348, 4.999, 5.921 Å; angles 114.97, 106.42, 90.00 degrees
Positions (direct):
Sc 0.202 0.202 0.403
Y 0.000 0.500 0.000
Ru 0.500 0.000 0.000
Sc 0.798 0.798 0.597

Record 2
The following is a meta-GGA SCAN calculation of a PBEsol-optimized structure of YScRu, from the Alexandria database.

Output
- Calculated volume: 65 Å³ per cell
- Energy of formation: -471.1 meV per atom

Cell lengths 3.267, 3.267, 6.471 Å; angles 104.62, 104.62, 90.00 degrees
Positions (direct):
Y 0.635 0.635 0.269
Sc 0.374 0.374 0.748
Ru 0.991 0.991 0.983

> Which value of calculated volume does entry 2 give?

65 Å³ per cell

Repeat the second record exactly.
The following is a meta-GGA SCAN calculation of a PBEsol-optimized structure of YScRu, from the Alexandria database.

Output
- Calculated volume: 65 Å³ per cell
- Energy of formation: -471.1 meV per atom

Cell lengths 3.267, 3.267, 6.471 Å; angles 104.62, 104.62, 90.00 degrees
Positions (direct):
Y 0.635 0.635 0.269
Sc 0.374 0.374 0.748
Ru 0.991 0.991 0.983